A plane-wave DFT calculation with PBE was carried out for crystalline K4OF3 at its relaxed geometry.

Output
Fermi-level density of states: 8.463 states/eV/cell
Formation energy (no corrections): -211.4 kJ per mole of atoms
VASP energy: -64.98 eV per cell

Cell: 5.417 5.417 11.003 Å, 90.00 90.00 90.00°
Space group I4/mmm (No. 139)
Symmetry-distinct sites (fractional):
K1 0.000 0.000 0.244 [4 per cell]
K2 0.000 0.500 0.000 [4 per cell]
O1 0.000 0.000 0.500 [2 per cell]
F1 0.000 0.000 0.000 [2 per cell]
F2 0.000 0.500 0.250 [4 per cell]